Record 1
ErP2IrRh5 | GGA-PBE | relaxed

abc: 3.9008 3.9008 10.6160
angles: 90.00 90.00 90.00
Closest atoms and distances in Å follow each position.
Sites, in units of the cell vectors:
Rh 0.0000 0.5000 0.1649  2 P 2.34, 2 Ir 2.62
Rh 0.5000 0.0000 0.1649  2 P 2.34, 2 Ir 2.62
Rh 0.0000 0.5000 0.8351  2 P 2.34, 2 Ir 2.62
Rh 0.5000 0.0000 0.8351  2 P 2.34, 2 Ir 2.62
Rh 0.0000 0.0000 0.5000  2 P 2.26
Ir 0.0000 0.0000 0.0000  8 Rh 2.62
P 0.0000 0.0000 0.2870  5 Rh 2.26-2.34
P 0.0000 0.0000 0.7130  5 Rh 2.26-2.34
Er 0.5000 0.5000 0.5000  4 Rh 2.76

SG: P4/mmm (123)
energy relative to the elements: -1.90 eV per formula unit

=====

Record 2
Rb5IO | GGA-PBE | relaxed

abc: 8.8377 8.8377 11.9559
angles: 93.64 114.54 110.62
Closest atoms and distances in Å follow each position.
Sites, in units of the cell vectors:
Rb 0.6915 0.9415 0.7500  2 O 2.95
Rb 0.1788 0.7531 0.4700  1 O 2.76
Rb 0.8212 0.2469 0.5300  1 O 2.76
Rb 0.3085 0.0585 0.2500  2 O 2.95
Rb 0.1223 0.8114 0.8863  1 O 2.83
Rb 0.5749 0.7640 0.3863  1 O 2.83
Rb 0.8777 0.1886 0.1137  1 O 2.83
Rb 0.7831 0.7088 0.0300  1 O 2.76
Rb 0.2169 0.2912 0.9700  1 O 2.76
Rb 0.4251 0.2360 0.6137  1 O 2.83
I 0.6845 0.4345 0.2500  7 Rb 3.76-3.84
I 0.3155 0.5655 0.7500  7 Rb 3.76-3.84
O 0.0000 0.0000 0.0000  6 Rb 2.76-2.95
O 0.5000 0.0000 0.5000  6 Rb 2.76-2.95

SG: C2/c (15)
formation energy without anion corrections: -803 meV/atom

=====

Record 3
NbBiF2 | GGA-PBE | relaxed

abc: 4.4615 4.4615 7.8954
angles: 73.59 73.59 90.00
Closest atoms and distances in Å follow each position.
Sites, in units of the cell vectors:
Bi 0.0000 0.0000 0.0000  4 F 2.80
Bi 0.7500 0.2500 0.5000  4 F 2.80
F 0.3750 0.5343 0.7500  2 Nb 2.16, 2 F 2.37
F 0.8750 0.7157 0.7500  2 Nb 2.16, 2 F 2.37
F 0.4657 0.1250 0.2500  2 Nb 2.16, 2 F 2.37
F 0.2843 0.6250 0.2500  2 Nb 2.16, 2 F 2.37
Nb 0.5000 0.5000 0.0000  4 F 2.16
Nb 0.2500 0.7500 0.5000  4 F 2.16

SG: I-42d (122)
formation energy without anion corrections: -1134 meV/atom

=====

Record 4
NaLiYF2 | GGA-PBE | relaxed

abc: 4.2156 4.2156 4.9351
angles: 90.00 90.00 90.00
Closest atoms and distances in Å follow each position.
Sites, in units of the cell vectors:
Na 0.0000 0.0000 0.5000  2 Li 2.47
Li 0.0000 0.0000 0.0000  4 F 2.11
F 0.5000 0.0000 0.0000  2 Li 2.11
F 0.0000 0.5000 0.0000  2 Li 2.11
Y 0.5000 0.5000 0.5000  4 Na 2.98, 8 F 3.25

SG: P4/mmm (123)
formation energy without anion corrections: -1260 meV/atom

=====

Record 5
GdZrTcIr | GGA-PBE | relaxed

abc: 4.7594 4.7594 4.7594
angles: 60.00 60.00 60.00
Closest atoms and distances in Å follow each position.
Sites, in units of the cell vectors:
Ir 0.0000 0.0000 0.0000  4 Gd 2.91, 4 Zr 2.91
Gd 0.2500 0.2500 0.2500  4 Ir 2.91, 4 Tc 2.91
Zr 0.7500 0.7500 0.7500  4 Tc 2.91, 4 Ir 2.91
Tc 0.5000 0.5000 0.5000  4 Gd 2.91, 4 Zr 2.91

SG: F-43m (216)
energy relative to the elements: -1.79 eV per formula unit

=====

Record 6
LaPuCo | GGA-PBE | relaxed

abc: 4.8265 4.8265 6.2667
angles: 90.00 90.00 90.00
Closest atoms and distances in Å follow each position.
Sites, in units of the cell vectors:
La 0.5000 0.0000 0.6206  1 Co 2.84
La 0.0000 0.5000 0.3794  1 Co 2.84
Pu 0.0000 0.0000 0.0000  4 Co 2.63
Pu 0.5000 0.5000 0.0000  4 Co 2.63
Co 0.5000 0.0000 0.1681  4 Pu 2.63, 1 La 2.84
Co 0.0000 0.5000 0.8319  4 Pu 2.63, 1 La 2.84

SG: P4/nmm (129)
energy relative to the elements: -0.05 eV per formula unit

=====

Record 7
NaLi2CdI6 | GGA-PBE | relaxed

abc: 8.3108 10.9155 10.9155
angles: 92.59 71.71 71.71
Closest atoms and distances in Å follow each position.
Sites, in units of the cell vectors:
Na 0.2500 0.8964 0.1036  6 I 3.29-3.44
Na 0.7500 0.1036 0.8964  6 I 3.29-3.44
I 0.5863 0.5634 0.6619  2 Li 2.77-2.79
I 0.0863 0.6619 0.5634  2 Li 2.77-2.79
I 0.9137 0.3381 0.4366  2 Li 2.77-2.79
I 0.3187 0.1899 0.0744  1 Li 2.83, 1 Cd 2.88
I 0.4072 0.8729 0.3491  1 Li 2.78, 1 Cd 2.80
I 0.6813 0.8101 0.9256  1 Li 2.83, 1 Cd 2.88
I 0.0928 0.6509 0.1271  1 Li 2.78, 1 Cd 2.80
I 0.4137 0.4366 0.3381  2 Li 2.77-2.79
I 0.1813 0.9256 0.8101  1 Li 2.83, 1 Cd 2.88
I 0.8187 0.0744 0.1899  1 Li 2.83, 1 Cd 2.88
I 0.9072 0.3491 0.8729  1 Li 2.78, 1 Cd 2.80
I 0.5928 0.1271 0.6509  1 Li 2.78, 1 Cd 2.80
Cd 0.7500 0.8332 0.1668  4 I 2.80-2.88
Cd 0.2500 0.1668 0.8332  4 I 2.80-2.88
Li 0.1371 0.4300 0.2478  4 I 2.77-2.83
Li 0.8629 0.5700 0.7522  4 I 2.77-2.83
Li 0.6371 0.2478 0.4300  4 I 2.77-2.83
Li 0.3629 0.7522 0.5700  4 I 2.77-2.83

SG: C2/c (15)
formation energy without anion corrections: -831 meV/atom

=====

Record 8
NbCr3Pd | GGA-PBE | relaxed

abc: 4.4406 4.4406 4.4406
angles: 90.00 90.00 90.00
Closest atoms and distances in Å follow each position.
Sites, in units of the cell vectors:
Cr 0.5000 0.0000 0.0000  2 Nb 2.22
Cr 0.0000 0.0000 0.5000  2 Nb 2.22
Cr 0.0000 0.5000 0.0000  2 Nb 2.22
Nb 0.0000 0.0000 0.0000  6 Cr 2.22
Pd 0.5000 0.5000 0.5000  12 Cr 3.14

SG: Pm-3m (221)
energy relative to the elements: 8.84 eV per formula unit

=====

Record 9
LaZrPb2 | GGA-PBE | relaxed

abc: 11.2576 11.2576 11.2576
angles: 17.97 17.97 17.97
Closest atoms and distances in Å follow each position.
Sites, in units of the cell vectors:
Zr 0.5038 0.5038 0.5038  3 Pb 3.23, 3 La 3.43, 6 Zr 3.52
Pb 0.9964 0.9964 0.9964  9 Pb 3.45-3.52, 3 La 3.63
Pb 0.2459 0.2459 0.2459  3 Zr 3.23, 9 Pb 3.45-3.52
La 0.7538 0.7538 0.7538  3 Zr 3.43, 6 La 3.52, 3 Pb 3.63

SG: R3m (160)
energy relative to the elements: 0.25 eV per formula unit

=====

Record 10
SiTeRh2 | GGA-PBE | relaxed

abc: 3.7826 3.7826 6.6369
angles: 80.05 80.05 47.82
Closest atoms and distances in Å follow each position.
Sites, in units of the cell vectors:
Si 0.7500 0.7500 0.7500  6 Rh 2.39-2.41
Te 0.2500 0.2500 0.2500  6 Rh 2.88-2.93, 2 Te 3.07
Rh 0.4861 0.4861 0.5635  3 Si 2.39-2.41
Rh 0.0139 0.0139 0.9365  3 Si 2.39-2.41

SG: C2/m (12)
formation energy without anion corrections: -384 meV/atom

=====

Record 11
TbPrY2Ho2 | GGA-PBE | relaxed

abc: 3.4145 6.5472 17.9042
angles: 90.00 90.00 90.00
Closest atoms and distances in Å follow each position.
Sites, in units of the cell vectors:
Ho 0.5000 0.2180 0.6474  1 Pr 3.22, 4 Y 3.33-3.42, 2 Ho 3.41, 2 Tb 3.45
Ho 0.0000 0.2820 0.1474  1 Pr 3.22, 4 Y 3.33-3.42, 2 Ho 3.41, 2 Tb 3.45
Ho 0.0000 0.7180 0.8526  1 Pr 3.22, 4 Y 3.33-3.42, 2 Ho 3.41, 2 Tb 3.45
Ho 0.5000 0.7820 0.3526  1 Pr 3.22, 4 Y 3.33-3.42, 2 Ho 3.41, 2 Tb 3.45
Tb 0.0000 0.0000 0.5000  2 Tb 3.41, 4 Ho 3.45, 4 Pr 3.69
Tb 0.5000 0.5000 0.0000  2 Tb 3.41, 4 Ho 3.45, 4 Pr 3.69
Y 0.0000 0.7796 0.1871  4 Ho 3.33-3.42, 2 Y 3.41, 1 Pr 3.65
Y 0.5000 0.7204 0.6871  4 Ho 3.33-3.42, 2 Y 3.41, 1 Pr 3.65
Y 0.0000 0.2204 0.8129  4 Ho 3.33-3.42, 2 Y 3.41, 1 Pr 3.65
Y 0.5000 0.2796 0.3129  4 Ho 3.33-3.42, 2 Y 3.41, 1 Pr 3.65
Pr 0.0000 0.0000 0.0000  2 Ho 3.22, 2 Pr 3.41
Pr 0.5000 0.5000 0.5000  2 Ho 3.22, 2 Pr 3.41

SG: Pnnm (58)
energy relative to the elements: 1.61 eV per formula unit

=====

Record 12
TbNdMg | GGA-PBE | relaxed

abc: 3.7440 3.7440 7.0163
angles: 105.47 105.47 90.00
Closest atoms and distances in Å follow each position.
Sites, in units of the cell vectors:
Mg 0.6698 0.6698 0.3395  4 Tb 3.31, 4 Nd 3.38
Nd 0.0077 0.0077 0.0154  4 Mg 3.38, 4 Tb 3.58, 4 Nd 3.74
Tb 0.3225 0.3225 0.6451  4 Mg 3.31, 4 Nd 3.58

SG: I4mm (107)
energy relative to the elements: -0.14 eV per formula unit

=====

Record 13
LaTlRe2 | GGA-PBE | relaxed

abc: 5.3955 5.3955 5.3955
angles: 132.65 132.65 69.21
Closest atoms and distances in Å follow each position.
Sites, in units of the cell vectors:
Re 0.0000 0.0000 0.0000  4 Re 3.06, 4 Tl 3.10, 4 La 3.10
Re 0.5000 0.5000 0.0000  4 Re 3.06, 4 La 3.10, 4 Tl 3.10
Tl 0.2500 0.7500 0.5000  4 La 3.06, 8 Re 3.10
La 0.7500 0.2500 0.5000  4 Tl 3.06, 8 Re 3.10

SG: I4/mmm (139)
energy relative to the elements: 4.31 eV per formula unit

=====

Record 14
Th2ZnHg2 | GGA-PBE | relaxed

abc: 3.3944 4.7639 8.1673
angles: 106.96 90.00 90.00
Closest atoms and distances in Å follow each position.
Sites, in units of the cell vectors:
Zn 0.5000 0.1085 0.2170  3 Hg 2.82-3.05
Hg 0.5000 0.3039 0.6079  1 Zn 3.05, 3 Hg 3.26-3.39, 4 Th 3.41
Hg 0.5000 0.5123 0.0246  2 Zn 2.82
Th 0.0000 0.9256 0.8512  8 Hg 3.22-3.49, 2 Zn 3.32, 2 Th 3.39
Th 0.0000 0.6917 0.3835  4 Zn 3.20, 6 Hg 3.28-3.41, 2 Th 3.39

SG: Amm2 (38)
energy relative to the elements: -1.16 eV per formula unit

=====

Record 15
Dy2CI | GGA-PBE | relaxed

abc: 3.9334 6.0749 9.7517
angles: 89.98 89.96 90.00
Closest atoms and distances in Å follow each position.
Sites, in units of the cell vectors:
Dy 0.7009 0.6712 0.1740  3 C 2.35
Dy 0.2011 0.1712 0.0420  3 C 2.35
Dy 0.7017 0.4822 0.8022  1 C 2.18
Dy 0.2003 0.9819 0.4138  1 C 2.18
I 0.2017 0.9017 0.7556  4 Dy 3.24-3.37
I 0.7003 0.4014 0.4603  4 Dy 3.24-3.37
C 0.2008 0.8785 0.2002  4 Dy 2.18-2.35
C 0.7012 0.3787 0.0157  4 Dy 2.18-2.35

SG: Pmn2_1 (31)
formation energy without anion corrections: -338 meV/atom

=====

Record 16
LiPd4Pb2 | GGA-PBE | relaxed

abc: 7.2151 7.2134 7.2139
angles: 122.24 121.62 86.63
Closest atoms and distances in Å follow each position.
Sites, in units of the cell vectors:
Pb 0.1245 0.4339 0.8087  6 Pd 2.77-2.90, 2 Li 2.99
Pb 0.7719 0.8750 0.3967  6 Pd 2.78-2.88, 2 Li 3.04
Pb 0.4785 0.3752 0.6034  6 Pd 2.78-2.88, 2 Li 3.04-3.05
Pb 0.6247 0.3155 0.1911  6 Pd 2.77-2.90, 2 Li 2.99-3.00
Pd 0.9234 0.6183 0.0798  1 Li 2.67, 3 Pb 2.77-2.80, 4 Pd 2.84-2.95
Pd 0.3271 0.9064 0.1968  1 Li 2.68, 3 Pb 2.78-2.80, 4 Pd 2.84-2.95
Pd 0.0002 0.1254 0.2646  2 Li 2.70-2.84, 5 Pd 2.78-2.89, 3 Pb 2.88-2.90
Pd 0.8599 0.7353 0.7356  2 Li 2.70-2.84, 5 Pd 2.78-2.89, 3 Pb 2.88-2.90
Pd 0.2493 0.0149 0.6231  2 Li 2.70-2.84, 5 Pd 2.78-2.89, 3 Pb 2.88-2.90
Pd 0.7091 0.1298 0.8027  1 Li 2.68, 3 Pb 2.78-2.80, 4 Pd 2.84-2.95
Pd 0.3911 0.6261 0.3764  2 Li 2.70-2.84, 5 Pd 2.78-2.89, 3 Pb 2.88-2.90
Pd 0.5397 0.8435 0.9204  1 Li 2.67, 3 Pb 2.77-2.80, 4 Pd 2.85-2.95
Li 0.1476 0.1474 0.9996  6 Pd 2.68-2.84, 2 Pb 2.99
Li 0.1030 0.6033 0.5011  6 Pd 2.67-2.84

SG: P1 (1)
energy relative to the elements: -1.84 eV per formula unit

=====

Record 17
TbSnH2 | GGA-PBE | relaxed

abc: 3.6123 3.6123 5.9831
angles: 72.43 72.43 60.00
Closest atoms and distances in Å follow each position.
Sites, in units of the cell vectors:
Sn 0.0000 0.0000 0.0000  8 H 3.09-3.33
Tb 0.5000 0.5000 0.5000  6 H 2.15
H 0.1982 0.1982 0.4055  3 Tb 2.15, 3 H 2.34
H 0.8018 0.8018 0.5945  3 Tb 2.15, 3 H 2.34

VASP energy: -4.247 eV/atom
SG: R-3m (166)

=====

Record 18
TbTm2Pb | GGA-PBE | relaxed

abc: 4.6673 4.6061 11.3905
angles: 101.69 90.00 90.00
Closest atoms and distances in Å follow each position.
Sites, in units of the cell vectors:
Tm 0.7500 0.4427 0.8858  8 Tm 3.28-3.51, 2 Pb 3.35
Tm 0.2500 0.9379 0.8763  8 Tm 3.28-3.61, 2 Pb 3.30
Tm 0.2500 0.5573 0.1142  8 Tm 3.28-3.51, 2 Pb 3.35
Tm 0.7500 0.0621 0.1237  8 Tm 3.28-3.61, 2 Pb 3.30
Tb 0.7500 0.6913 0.3816  5 Pb 3.19-3.32
Tb 0.2500 0.3087 0.6184  5 Pb 3.19-3.32
Pb 0.2500 0.1668 0.3326  5 Tb 3.19-3.32, 4 Tm 3.30-3.35
Pb 0.7500 0.8332 0.6674  5 Tb 3.19-3.32, 4 Tm 3.30-3.35

SG: P2_1/m (11)
energy relative to the elements: -1.17 eV per formula unit

=====

Record 19
SiAgF5 | GGA-PBE | relaxed

abc: 5.5052 5.5052 7.2303
angles: 72.68 72.68 77.04
Closest atoms and distances in Å follow each position.
Sites, in units of the cell vectors:
F 0.8156 0.2897 0.4983  1 Si 1.69
F 0.0315 0.9685 0.7500  2 Si 1.82
F 0.1844 0.7103 0.5017  1 Si 1.69
F 0.7356 0.8591 0.5983  1 Si 1.67
F 0.1409 0.2644 0.9017  1 Si 1.67
F 0.9685 0.0315 0.2500  2 Si 1.82
F 0.8591 0.7356 0.0983  1 Si 1.67
F 0.2644 0.1409 0.4017  1 Si 1.67
F 0.7103 0.1844 0.0017  1 Si 1.69
F 0.2897 0.8156 0.9983  1 Si 1.69
Ag 0.5104 0.4896 0.2500  6 F 2.40-2.65
Ag 0.4896 0.5104 0.7500  6 F 2.40-2.65
Si 0.0000 0.0000 0.5000  6 F 1.67-1.82
Si 0.0000 0.0000 0.0000  6 F 1.67-1.82

SG: C2/c (15)
formation energy without anion corrections: -2503 meV/atom

=====

Record 20
Co2RhBr | GGA-PBE | relaxed

abc: 4.7233 4.7233 4.7233
angles: 132.03 132.03 70.19
Closest atoms and distances in Å follow each position.
Sites, in units of the cell vectors:
Rh 0.5000 0.5000 0.0000  8 Co 2.72, 4 Br 2.72
Br 0.7500 0.2500 0.5000  8 Co 2.72, 4 Rh 2.72
Co 0.0000 0.0000 0.0000  4 Rh 2.72, 4 Co 2.72, 4 Br 2.72
Co 0.2500 0.7500 0.5000  4 Br 2.72, 4 Co 2.72, 4 Rh 2.72

SG: I-4m2 (119)
formation energy without anion corrections: 736 meV/atom